(1)
A plane-wave DFT calculation with GGA-PBE was carried out for a relaxed DyHo2Ir2 crystal.

Energy relative to the elements   -389 kJ/mol of formula units
Total moment   0.0 μB/cell
Crystal system   trigonal
E above lowest polymorph   0 meV per atom

Cell lengths 4.7553, 4.7553, 6.0023 Å; angles 90.00, 90.00, 120.00 degrees
With the nearest neighbours (Å) after each atom.
Sites, in units of the cell vectors:
Dy 0.0000 0.0000 0.0000  6 Ir 2.93
Ho 0.3333 0.6667 0.6635  5 Ir 2.92-3.05
Ho 0.6667 0.3333 0.3365  5 Ir 2.92-3.05
Ir 0.3333 0.6667 0.1718  5 Ho 2.92-3.05, 3 Dy 2.93
Ir 0.6667 0.3333 0.8282  5 Ho 2.92-3.05, 3 Dy 2.93

(2)
A plane-wave DFT calculation with GGA-PBE was carried out for a relaxed DyHo3Ir3 crystal.

Energy relative to the elements   -508 kJ/mol of formula units
Total moment   0.0 μB/cell
Crystal system   trigonal
E above lowest polymorph   0 meV per atom

Cell lengths 5.9014, 5.9014, 5.9014 Å; angles 109.52, 109.52, 109.52 degrees
With the nearest neighbours (Å) after each atom.
Sites, in units of the cell vectors:
Dy 0.0000 0.0000 0.0000  6 Ir 2.95
Ho 0.0000 0.5000 0.5000  6 Ir 2.94-2.95
Ho 0.5000 0.0000 0.5000  6 Ir 2.94-2.95
Ho 0.5000 0.5000 0.0000  6 Ir 2.94-2.95
Ir 0.0000 0.0000 0.5000  6 Ho 2.94-2.95, 2 Dy 2.95
Ir 0.0000 0.5000 0.0000  6 Ho 2.94-2.95, 2 Dy 2.95
Ir 0.5000 0.0000 0.0000  6 Ho 2.94-2.95, 2 Dy 2.95

(3)
A plane-wave DFT calculation with GGA-PBE was carried out for a relaxed DyHo2Ir crystal.

Energy relative to the elements   -229 kJ/mol of formula units
Total moment   0.0 μB/cell
Crystal system   orthorhombic
E above lowest polymorph   0 meV per atom

Cell lengths 7.2101, 9.2375, 6.3748 Å; angles 90.00, 90.00, 90.00 degrees
With the nearest neighbours (Å) after each atom.
Sites, in units of the cell vectors:
Dy 0.0338 0.2500 0.1311  2 Ir 2.76-2.86
Dy 0.4662 0.7500 0.6311  2 Ir 2.76-2.86
Dy 0.5338 0.2500 0.3689  2 Ir 2.76-2.86
Dy 0.9662 0.7500 0.8689  2 Ir 2.76-2.86
Ho 0.1768 0.0628 0.6737  2 Ir 2.85-2.89
Ho 0.1768 0.4372 0.6737  2 Ir 2.85-2.89
Ho 0.3232 0.5628 0.1737  2 Ir 2.85-2.89
Ho 0.3232 0.9372 0.1737  2 Ir 2.85-2.89
Ho 0.6768 0.0628 0.8263  2 Ir 2.85-2.89
Ho 0.6768 0.4372 0.8263  2 Ir 2.85-2.89
Ho 0.8232 0.5628 0.3263  2 Ir 2.85-2.89
Ho 0.8232 0.9372 0.3263  2 Ir 2.85-2.89
Ir 0.1165 0.7500 0.4531  2 Dy 2.76-2.86, 4 Ho 2.85-2.89
Ir 0.3835 0.2500 0.9531  2 Dy 2.76-2.86, 4 Ho 2.85-2.89
Ir 0.6165 0.7500 0.0469  2 Dy 2.76-2.86, 4 Ho 2.85-2.89
Ir 0.8835 0.2500 0.5469  2 Dy 2.76-2.86, 4 Ho 2.85-2.89

(4)
A plane-wave DFT calculation with GGA-PBE was carried out for a relaxed Dy4HoIr2 crystal.

Energy relative to the elements   -362 kJ/mol of formula units
Total moment   0.0 μB/cell
Crystal system   monoclinic

Cell lengths 7.8458, 6.3261, 7.8764 Å; angles 90.00, 112.64, 90.00 degrees
With the nearest neighbours (Å) after each atom.
Sites, in units of the cell vectors:
Dy 0.0156 0.2500 0.3795  2 Ir 2.73-2.85
Dy 0.2474 0.7500 0.3339  2 Ir 2.77-2.88
Dy 0.4154 0.0030 0.7633  4 Ir 2.98-3.10, 2 Dy 3.13-3.20
Dy 0.4154 0.4970 0.7633  4 Ir 2.98-3.10, 2 Dy 3.13-3.20
Dy 0.5846 0.5030 0.2367  4 Ir 2.98-3.10, 2 Dy 3.13-3.20
Dy 0.5846 0.9970 0.2367  4 Ir 2.98-3.10, 2 Dy 3.13-3.20
Dy 0.7526 0.2500 0.6661  2 Ir 2.77-2.88
Dy 0.9844 0.7500 0.6205  2 Ir 2.73-2.85
Ho 0.1570 0.2500 0.0294  1 Ir 2.82
Ho 0.8430 0.7500 0.9706  1 Ir 2.82
Ir 0.2556 0.7500 0.9860  6 Dy 2.77-3.01
Ir 0.3736 0.2500 0.4096  4 Dy 2.73-2.98, 1 Ho 2.82
Ir 0.6264 0.7500 0.5904  4 Dy 2.73-2.98, 1 Ho 2.82
Ir 0.7444 0.2500 0.0140  6 Dy 2.77-3.01

(5)
A plane-wave DFT calculation with GGA-PBE was carried out for a relaxed DyHo8Ir6 crystal.

Energy relative to the elements   -1174 kJ/mol of formula units
Total moment   0.0 μB/cell
Crystal system   trigonal

Cell lengths 7.6378, 7.6378, 7.6378 Å; angles 65.33, 65.33, 65.33 degrees
With the nearest neighbours (Å) after each atom.
Sites, in units of the cell vectors:
Dy 0.0000 0.0000 0.0000  6 Ir 2.93
Ho 0.1115 0.4463 0.7781  5 Ir 2.91-3.03
Ho 0.2219 0.8885 0.5537  5 Ir 2.91-3.03
Ho 0.3336 0.3336 0.3336  6 Ir 2.93
Ho 0.4463 0.7781 0.1115  5 Ir 2.91-3.03
Ho 0.5537 0.2219 0.8885  5 Ir 2.91-3.03
Ho 0.6664 0.6664 0.6664  6 Ir 2.93
Ho 0.7781 0.1115 0.4463  5 Ir 2.91-3.03
Ho 0.8885 0.5537 0.2219  5 Ir 2.91-3.03
Ir 0.0569 0.7232 0.3904  7 Ho 2.91-3.03, 1 Dy 2.93
Ir 0.2768 0.6096 0.9431  7 Ho 2.91-3.03, 1 Dy 2.93
Ir 0.3904 0.0569 0.7232  7 Ho 2.91-3.03, 1 Dy 2.93
Ir 0.6096 0.9431 0.2768  7 Ho 2.91-3.03, 1 Dy 2.93
Ir 0.7232 0.3904 0.0569  7 Ho 2.91-3.03, 1 Dy 2.93
Ir 0.9431 0.2768 0.6096  7 Ho 2.91-3.03, 1 Dy 2.93

(6)
A plane-wave DFT calculation with GGA-PBE was carried out for a relaxed Dy2Ho3Ir2 crystal.

Energy relative to the elements   -434 kJ/mol of formula units
Total moment   0.0 μB/cell
Crystal system   monoclinic

Cell lengths 6.2955, 6.2955, 8.8194 Å; angles 114.80, 114.80, 35.46 degrees
With the nearest neighbours (Å) after each atom.
Sites, in units of the cell vectors:
Dy 0.1672 0.1672 0.3072  2 Ir 2.82
Dy 0.8328 0.8328 0.6928  2 Ir 2.82
Ho 0.3811 0.3811 0.0691  3 Ir 2.85-2.88
Ho 0.5000 0.5000 0.5000  4 Ir 2.94
Ho 0.6189 0.6189 0.9309  3 Ir 2.85-2.88
Ir 0.1767 0.1767 0.7365  2 Dy 2.82, 5 Ho 2.85-2.94
Ir 0.8233 0.8233 0.2635  2 Dy 2.82, 5 Ho 2.85-2.94

(7)
A plane-wave DFT calculation with GGA-PBE was carried out for a relaxed Dy2HoIr2 crystal.

Energy relative to the elements   -320 kJ/mol of formula units
Total moment   0.0 μB/cell
Crystal system   orthorhombic
E above lowest polymorph   110 meV per atom

Cell lengths 8.6294, 8.6294, 7.2253 Å; angles 90.00, 90.00, 153.26 degrees
With the nearest neighbours (Å) after each atom.
Sites, in units of the cell vectors:
Dy 0.0316 0.9684 0.5000  5 Ir 2.85-2.97
Dy 0.1890 0.8110 0.2188  5 Ir 2.88-3.03
Dy 0.8110 0.1890 0.7188  5 Ir 2.88-3.03
Dy 0.9684 0.0316 0.0000  5 Ir 2.85-2.97
Ho 0.3800 0.6200 0.3322  4 Ir 2.78-3.07
Ho 0.6200 0.3800 0.8322  4 Ir 2.78-3.07
Ir 0.1942 0.8058 0.6264  2 Ho 2.78, 4 Dy 2.88-2.95
Ir 0.4466 0.5534 0.7002  6 Dy 2.85-3.03, 2 Ho 2.88-3.07
Ir 0.5534 0.4466 0.2002  6 Dy 2.85-3.03, 2 Ho 2.88-3.07
Ir 0.8058 0.1942 0.1264  2 Ho 2.78, 4 Dy 2.88-2.95

(8)
A plane-wave DFT calculation with GGA-PBE was carried out for a relaxed DyHo4Ir5 crystal.

Energy relative to the elements   -805 kJ/mol of formula units
Total moment   0.0 μB/cell
Crystal system   tetragonal

Cell lengths 3.3404, 3.3404, 17.8086 Å; angles 90.00, 90.00, 90.00 degrees
With the nearest neighbours (Å) after each atom.
Sites, in units of the cell vectors:
Dy 0.0000 0.0000 0.0000  8 Ir 2.97
Ho 0.0000 0.0000 0.2005  8 Ir 2.95-2.96
Ho 0.0000 0.0000 0.4002  8 Ir 2.96
Ho 0.0000 0.0000 0.5998  8 Ir 2.96
Ho 0.0000 0.0000 0.7995  8 Ir 2.95-2.96
Ir 0.5000 0.5000 0.1009  4 Ho 2.95, 4 Dy 2.97
Ir 0.5000 0.5000 0.3004  8 Ho 2.96
Ir 0.5000 0.5000 0.5000  8 Ho 2.96
Ir 0.5000 0.5000 0.6996  8 Ho 2.96
Ir 0.5000 0.5000 0.8991  4 Ho 2.95, 4 Dy 2.97

(9)
A plane-wave DFT calculation with GGA-PBE was carried out for a relaxed Dy2HoIr2 crystal.

Energy relative to the elements   -372 kJ/mol of formula units
Total moment   0.0 μB/cell
Crystal system   orthorhombic
E above lowest polymorph   0 meV per atom

Cell lengths 4.7891, 4.7956, 10.3006 Å; angles 90.00, 90.00, 90.00 degrees
With the nearest neighbours (Å) after each atom.
Sites, in units of the cell vectors:
Dy 0.2500 0.2500 0.9996  4 Ir 2.91-2.92
Dy 0.2500 0.2500 0.3333  6 Ir 2.92-2.98
Dy 0.7500 0.7500 0.0004  4 Ir 2.91-2.92
Dy 0.7500 0.7500 0.6667  6 Ir 2.92-2.98
Ho 0.2500 0.2500 0.6656  6 Ir 2.91-2.98
Ho 0.7500 0.7500 0.3344  6 Ir 2.91-2.98
Ir 0.2500 0.7500 0.1618  6 Dy 2.91-2.98, 2 Ho 2.98
Ir 0.2500 0.7500 0.5050  4 Ho 2.91-2.97, 4 Dy 2.92-2.98
Ir 0.7500 0.2500 0.4950  4 Ho 2.91-2.97, 4 Dy 2.92-2.98
Ir 0.7500 0.2500 0.8382  6 Dy 2.91-2.98, 2 Ho 2.98

(10)
A plane-wave DFT calculation with GGA-PBE was carried out for a relaxed DyHo2Ir2 crystal.

Energy relative to the elements   -363 kJ/mol of formula units
Total moment   0.0 μB/cell
Crystal system   monoclinic
E above lowest polymorph   54 meV per atom

Cell lengths 5.5066, 4.3646, 10.3442 Å; angles 90.00, 96.26, 90.00 degrees
With the nearest neighbours (Å) after each atom.
Sites, in units of the cell vectors:
Dy 0.1018 0.2500 0.2923  5 Ir 2.88-2.92
Dy 0.8982 0.7500 0.7077  5 Ir 2.88-2.92
Ho 0.2496 0.2500 0.9691  4 Ir 2.82-3.02
Ho 0.3911 0.2500 0.6187  5 Ir 2.77-3.08
Ho 0.6089 0.7500 0.3813  5 Ir 2.77-3.08
Ho 0.7504 0.7500 0.0309  4 Ir 2.82-3.02
Ir 0.1581 0.7500 0.4758  4 Ho 2.77-3.08, 2 Ir 2.87, 3 Dy 2.89-2.92
Ir 0.2648 0.7500 0.1417  5 Ho 2.82-3.02, 2 Dy 2.88
Ir 0.7352 0.2500 0.8583  5 Ho 2.82-3.02, 2 Dy 2.88
Ir 0.8419 0.2500 0.5242  4 Ho 2.77-3.08, 2 Ir 2.87, 3 Dy 2.89-2.92

(11)
A plane-wave DFT calculation with GGA-PBE was carried out for a relaxed Dy4Ho3Ir4 crystal.

Energy relative to the elements   -717 kJ/mol of formula units
Total moment   0.0 μB/cell
Crystal system   orthorhombic

Cell lengths 9.2688, 9.2688, 9.2688 Å; angles 156.31, 124.47, 61.20 degrees
With the nearest neighbours (Å) after each atom.
Sites, in units of the cell vectors:
Dy 0.0232 0.8333 0.1899  4 Ir 2.79-2.98
Dy 0.3565 0.1667 0.1899  4 Ir 2.79-2.98
Dy 0.6435 0.8333 0.8101  4 Ir 2.79-2.98
Dy 0.9768 0.1667 0.8101  4 Ir 2.79-2.98
Ho 0.0000 0.5000 0.5000  4 Ir 3.12
Ho 0.4000 0.4000 0.0000  6 Ir 3.04-3.09, 1 Ho 3.19
Ho 0.6000 0.6000 0.0000  6 Ir 3.04-3.09, 1 Ho 3.19
Ir 0.2511 0.7511 0.5000  6 Dy 2.85-2.98, 2 Ho 3.04
Ir 0.2866 0.0000 0.2866  2 Dy 2.79, 6 Ho 3.09-3.12
Ir 0.7134 0.0000 0.7134  2 Dy 2.79, 6 Ho 3.09-3.12
Ir 0.7489 0.2489 0.5000  6 Dy 2.85-2.98, 2 Ho 3.04